Entry 1:
Entry from Alexandria via LeMat-Bulk: crystalline LaAlOs2 at its relaxed geometry (GGA-PBEsol). Values from VASP.

```
&SYSTEM
  ibrav = 0, nat = 4, ntyp = 3
/
ATOMIC_SPECIES
Os 190.23 Os.upf
Al 26.98 Al.upf
La 138.91 La.upf
CELL_PARAMETERS angstrom
-2.122 -1.675 -0.830
0.629 0.027 2.757
-6.286 7.288 1.365
ATOMIC_POSITIONS angstrom
Os -6.123 7.099 1.329
Os -5.466 4.648 1.988
Al -3.374 3.912 0.733
La -2.244 0.913 1.288
```

Calculated values
Polymorph energy (0 for the lowest one) in eV per atom: 0.000
Crystal system: orthorhombic



Entry 2:
Entry from Alexandria via LeMat-Bulk: crystalline LaAlOs2 at its relaxed geometry (GGA-PBEsol). Values from VASP.

```
&SYSTEM
  ibrav = 0, nat = 4, ntyp = 3
/
ATOMIC_SPECIES
Os 190.23 Os.upf
Al 26.98 Al.upf
La 138.91 La.upf
CELL_PARAMETERS angstrom
4.645 0.000 0.000
2.322 4.022 0.000
2.322 1.341 3.792
ATOMIC_POSITIONS angstrom
Os 0.000 0.000 0.000
Os 6.967 4.022 2.844
Al 4.645 2.682 1.896
La 2.322 1.341 0.948
```

Calculated values
Polymorph energy (0 for the lowest one) in eV per atom: 0.024
Crystal system: cubic



Entry 3:
Entry from Alexandria via LeMat-Bulk: crystalline LaAl2Os2 at its relaxed geometry (GGA-PBEsol). Values from VASP.

```
&SYSTEM
  ibrav = 0, nat = 5, ntyp = 3
/
ATOMIC_SPECIES
Os 190.23 Os.upf
Al 26.98 Al.upf
La 138.91 La.upf
CELL_PARAMETERS angstrom
-3.095 2.538 -1.423
-1.434 -3.138 -2.479
-0.854 -1.333 5.822
ATOMIC_POSITIONS angstrom
Os -2.408 -1.261 2.989
Os -2.975 -0.672 -1.068
Al -2.277 -2.385 0.697
Al -3.107 0.453 1.225
La 0.000 0.000 0.000
```

Calculated values
Crystal system: tetragonal



These records have energy relative to the elements values of 2.052 2.149 -1.445 eV/f.u., in the order they appear.